PBE BaMo2Ru, optimized geometry; energy relative to the elements = 4.16 eV/f.u.; symmetry = Immm (71)
1.0
2.911 0.000 0.000
0.000 5.291 0.000
0.000 0.000 10.750
Ba Mo Ru
2 4 2
direct
0.000 0.000 0.000
0.500 0.500 0.500
0.000 0.500 0.207
0.000 0.500 0.793
0.500 0.000 0.293
0.500 0.000 0.707
0.000 0.000 0.500
0.500 0.500 0.000